The following is a GGA-PBE calculation of a relaxed Tm5Th4Sc crystal, from Alexandria via LeMat-Bulk.

extended XYZ file:
```
10
Lattice="8.9262 -1.7354 0.0000 8.9262 1.7354 0.0000 -4.6340 0.0000 10.1105" Properties=species:S:1:pos:R:3 pbc="T T T"
Tm 0.0000 0.0000 0.0000
Tm 3.6638 0.0000 4.1773
Tm 1.9504 0.0000 8.5323
Tm 11.2680 0.0000 1.5782
Tm 9.5545 0.0000 5.9332
Th -1.2310 0.0000 8.8047
Th 4.9982 0.0000 7.2638
Th 8.2202 0.0000 2.8467
Th 14.4494 0.0000 1.3058
Sc -2.3170 0.0000 5.0553
```

Values from the calculation:
Energy relative to the lowest polymorph listed for this composition ... 0.019 eV per atom
Magnetic moment ... 0.000 μB per formula unit
Mass density ... 9636 kg/m³
DFT formation energy ... 0.18 eV per atom


The following is a GGA-PBE calculation of a relaxed Tm5HgIr2 crystal, from Alexandria via LeMat-Bulk.

extended XYZ file:
```
16
Lattice="-3.8192 3.8192 6.6417 3.8192 -3.8192 6.6417 3.8192 3.8192 -6.6417" Properties=species:S:1:pos:R:3 pbc="T T T"
Tm 0.0000 0.0000 0.0000
Tm 5.0366 1.2174 -1.7989
Tm 1.2174 2.6018 -1.7989
Tm 5.0366 1.2174 1.7989
Tm 1.2174 2.6018 1.7989
Tm 0.0000 0.0000 6.6417
Tm 2.6018 1.2174 4.8427
Tm -1.2174 2.6018 4.8427
Tm 2.6018 1.2174 8.4406
Tm -1.2174 2.6018 8.4406
Hg 0.0000 0.0000 3.3208
Hg 0.0000 0.0000 9.9625
Ir 2.7393 1.0799 0.0000
Ir 2.7393 -1.0799 6.6417
Ir 1.0799 4.8991 0.0000
Ir 1.0799 2.7393 6.6417
```

Values from the calculation:
Magnetic moment ... 0.000 μB per formula unit
Mass density ... 12253 kg/m³
DFT formation energy ... -0.74 eV per atom


- The highest DFT formation energy belongs to which entry?
  Tm5Th4Sc


- What is the formula in the first record?
  Tm5Th4Sc